Here is a relaxed Ho3Er4Tm crystal from the Alexandria database. Energies are from PBE-GGA.

## Properties
Crystal system = orthorhombic
DOS(E_F) = 1.595 states/eV per atom
Space-group type = Pmn2_1
Calculated volume = 493 Å³ per cell
Final energy = -4.56 eV/atom

Unit cell a=11.079 b=7.173 c=6.201 alpha=90.00 beta=90.00 gamma=90.00
Fractional coordinates of all 16 atoms:
Ho  0.000  0.125  0.000
Ho  0.250  0.125  0.333
Ho  0.250  0.875  0.833
Ho  0.500  0.875  0.500
Ho  0.750  0.125  0.333
Ho  0.750  0.875  0.833
Er  0.000  0.375  0.501
Er  0.000  0.625  0.000
Er  0.249  0.625  0.333
Er  0.251  0.375  0.833
Er  0.500  0.375  0.500
Er  0.500  0.625  0.001
Er  0.749  0.375  0.833
Er  0.751  0.625  0.333
Tm  0.000  0.875  0.500
Tm  0.500  0.125  0.000



Here is a relaxed Np2TiGa6 crystal from the Alexandria database. Energies are from PBE-GGA.

## Properties
Crystal system = orthorhombic
DOS(E_F) = 1.801 states/eV per atom
Space-group type = Cmmm
Calculated volume = 163 Å³ per cell
Final energy = -5.95 eV/atom

Unit cell a=8.105 b=8.105 c=2.869 alpha=90.00 beta=90.00 gamma=120.05
Fractional coordinates of all 9 atoms:
Np  0.167  0.833  0.000
Np  0.833  0.167  0.000
Ti  0.500  0.500  0.000
Ga  0.182  0.182  0.500
Ga  0.183  0.500  0.500
Ga  0.500  0.183  0.500
Ga  0.500  0.817  0.500
Ga  0.817  0.500  0.500
Ga  0.818  0.818  0.500



Here is a relaxed LaNdEuLu crystal from the Alexandria database. Energies are from PBE-GGA.

## Properties
Crystal system = cubic
DOS(E_F) = 1.518 states/eV per atom
Space-group type = F-43m
Calculated volume = 142 Å³ per cell
Final energy = -6.01 eV/atom

Unit cell a=5.854 b=5.854 c=5.854 alpha=60.00 beta=60.00 gamma=60.00
Fractional coordinates of all 4 atoms:
La  0.000  0.000  0.000
Nd  0.500  0.500  0.500
Eu  0.750  0.750  0.750
Lu  0.250  0.250  0.250